(1)
VASP calculation (PBE-GGA) on a geometry-optimized Dy2Fe3Co structure.

POSCAR file:
```
Dy2Fe3Co
1.0
4.5523 -0.1361 -2.3869
-2.8959 4.2431 -0.2211
-0.2080 0.1230 5.1254
Dy Fe Co
2 3 1
Cartesian
-0.8514 2.7271 3.7540
2.2998 1.5029 -1.2365
-0.1040 0.0615 2.5627
0.7242 2.1150 1.2587
2.1722 -0.0066 1.3693
0.0000 0.0000 0.0000
```

## Properties
As for the formation energy: -0.81 eV per formula unit. As for the space group: No. 166.

(2)
VASP calculation (PBE-GGA) on a geometry-optimized Ac4PdRuBr2 structure.

POSCAR file:
```
Ac4PdRuBr2
1.0
4.3650 0.0000 0.0000
0.0000 7.5541 0.1433
0.0000 -2.6465 8.2675
Br Ac Ru Pd
2 4 1 1
Cartesian
2.1825 -1.3232 4.1337
0.0000 2.4538 4.2054
0.0000 -0.0192 6.6750
0.0000 4.9268 1.7359
2.1825 1.3230 1.6503
2.1825 3.5845 6.7605
2.1825 3.7770 0.0717
0.0000 0.0000 0.0000
```

## Properties
Its uncorrected formation energy is -1.015 eV per atom. As for the space group: No. 10.

(3)
VASP calculation (PBE-GGA) on a geometry-optimized LiNpAsAu structure.

POSCAR file:
```
LiNpAsAu
1.0
4.8679 0.0000 0.0000
2.4339 4.2157 0.0000
2.4339 1.4052 3.9746
Li As Au Np
1 1 1 1
Cartesian
0.0000 0.0000 0.0000
2.4339 1.4052 0.9936
7.3018 4.2157 2.9809
4.8679 2.8105 1.9873
```

## Properties
As for the formation energy: -1.73 eV per formula unit. As for the space group: No. 216.

(4)
VASP calculation (PBE-GGA) on a geometry-optimized AgP2Se structure.

POSCAR file:
```
AgP2Se
1.0
7.7644 0.0000 0.0000
0.0000 3.5270 0.0000
0.0000 0.0000 3.5270
P Ag Se
2 1 1
Cartesian
0.0000 0.0000 0.0000
0.0000 1.7635 1.7635
3.8822 0.0000 1.7635
3.8822 1.7635 0.0000
```

## Properties
Its uncorrected formation energy is 0.542 eV per atom. As for the space group: No. 123.

(5)
VASP calculation (PBE-GGA) on a geometry-optimized KSc2Te2 structure.

POSCAR file:
```
KSc2Te2
1.0
-7.4331 -3.8596 1.5078
3.3150 -7.3968 -2.5919
1.1084 -0.7474 3.5507
Te Sc K
4 4 2
Cartesian
-4.3274 -3.5995 0.5931
-4.1813 -8.0827 -0.3963
0.0633 -3.1737 -0.6878
0.2093 -7.6570 -1.6772
-1.7093 -2.7817 1.9750
-1.3004 -9.2221 0.4916
1.6550 -5.5939 0.3329
-4.6646 -6.4099 2.1337
-2.0590 -5.6282 -0.5421
0.0000 0.0000 0.0000
```

## Properties
Its uncorrected formation energy is -0.680 eV per atom. As for the space group: No. 127.

(6)
VASP calculation (PBE-GGA) on a geometry-optimized Cu2TcAgOs structure.

POSCAR file:
```
Cu2TcAgOs
1.0
4.4836 0.0000 0.0000
0.0000 4.9102 0.0000
0.0000 0.0000 4.4836
Cu Tc Os Ag
2 1 1 1
Cartesian
0.0000 0.0000 2.2418
2.2418 0.0000 0.0000
0.0000 2.4551 0.0000
2.2418 2.4551 2.2418
0.0000 0.0000 0.0000
```

## Properties
As for the formation energy: 10.90 eV per formula unit. As for the space group: No. 123.

(7)
VASP calculation (PBE-GGA) on a geometry-optimized La3NdSi2 structure.

POSCAR file:
```
La3NdSi2
1.0
-2.2775 2.3202 8.3669
2.2775 -2.3202 8.3669
2.2775 2.3202 -8.3669
La Nd Si
3 1 2
Cartesian
2.2775 0.0000 5.3019
0.0000 2.3202 3.0649
0.0000 0.0000 8.3669
0.0000 0.0000 0.0000
0.0000 2.3202 6.1452
2.2775 0.0000 2.2217
```

## Properties
Its uncorrected formation energy is -0.482 eV per atom. As for the space group: No. 71.

(8)
VASP calculation (PBE-GGA) on a geometry-optimized InGaCu2S4 structure.

POSCAR file:
```
InGaCu2S4
1.0
5.4723 0.2274 0.0002
-0.2273 5.4723 0.0002
-2.6223 -2.8497 5.4385
S Ga Cu In
4 1 2 1
Cartesian
1.2835 4.0821 1.4519
3.9616 1.6177 1.4519
-1.2319 -1.3387 3.9876
1.2323 1.3391 3.9878
2.6225 2.8499 0.0008
-0.1136 2.7362 2.7198
2.7362 0.1137 2.7198
0.0000 0.0000 0.0002
```

## Properties
Its uncorrected formation energy is -0.530 eV per atom. As for the space group: No. 121.

(9)
VASP calculation (PBE-GGA) on a geometry-optimized NdScIn4 structure.

POSCAR file:
```
NdScIn4
1.0
-3.8639 1.9243 4.1446
-0.9190 -3.2210 4.9589
2.0124 1.9865 5.2740
In Nd Sc
4 1 1
Cartesian
-2.7398 -0.5635 6.3477
-1.7321 0.4312 8.9885
0.2027 -0.5323 6.9132
-1.2719 2.0441 6.5055
-0.6926 0.1724 3.5944
0.0000 0.0000 0.0000
```

## Properties
As for the formation energy: -1.68 eV per formula unit. As for the space group: No. 216.

(10)
VASP calculation (PBE-GGA) on a geometry-optimized YAl3O structure.

POSCAR file:
```
YAl3O
1.0
-0.3115 -3.6396 -2.4493
3.9557 0.8287 -1.7345
1.8969 -2.3258 3.2148
Y O Al
1 1 3
Cartesian
2.7705 -2.5684 -0.4845
0.0000 0.0000 0.0000
1.9778 0.4143 -0.8673
-0.1558 -1.8198 -1.2247
0.9484 -1.1629 1.6074
```

## Properties
Its uncorrected formation energy is -0.598 eV per atom. As for the space group: No. 221.

(11)
VASP calculation (PBE-GGA) on a geometry-optimized Zr2MoAu structure.

POSCAR file:
```
Zr2MoAu
1.0
-1.8070 -5.8168 6.3318
1.5044 -5.9370 6.2992
-0.0508 -3.5745 8.0257
Mo Zr Au
1 2 1
Cartesian
-0.2650 -11.4963 15.4925
-0.1749 -7.5888 10.2267
-0.0017 -0.0754 0.1016
-0.0883 -3.8321 5.1642
```

## Properties
As for the formation energy: -0.24 eV per formula unit. As for the space group: No. 166.

(12)
VASP calculation (PBE-GGA) on a geometry-optimized Cs2CeErS4 structure.

POSCAR file:
```
Cs2CeErS4
1.0
-0.8703 -3.0675 2.6921
5.1813 -4.0762 -2.9697
3.6427 4.3880 6.1775
S Cs Ce Er
4 2 1 1
Cartesian
6.6011 -1.1276 4.0835
1.3526 -1.6281 1.8164
4.3334 2.5130 4.2643
4.4906 -2.2012 -1.0564
4.4120 0.1559 1.6039
1.3862 0.6603 4.4348
2.1555 -3.5719 -0.1388
0.0000 0.0000 0.0000
```

## Properties
Its uncorrected formation energy is -1.782 eV per atom. As for the space group: No. 10.

(13)
VASP calculation (PBE-GGA) on a geometry-optimized Zn2IrPtCl structure.

POSCAR file:
```
Zn2IrPtCl
1.0
4.8750 0.0000 0.0000
0.0000 4.8297 0.0000
0.0000 0.0000 4.8750
Zn Cl Ir Pt
2 1 1 1
Cartesian
2.4375 0.0000 0.0000
0.0000 0.0000 2.4375
2.4375 2.4149 2.4375
0.0000 2.4149 0.0000
0.0000 0.0000 0.0000
```

## Properties
Its uncorrected formation energy is 0.635 eV per atom. As for the space group: No. 123.

(14)
VASP calculation (PBE-GGA) on a geometry-optimized Sm2ZnGe3 structure.

POSCAR file:
```
Sm2ZnGe3
1.0
5.6554 0.8141 -1.5567
-1.4736 5.5204 -1.5567
-0.5486 -0.8310 8.3818
Sm Zn Ge
4 2 6
Cartesian
0.0344 3.9283 2.6343
1.0156 1.5385 -0.7561
3.5989 1.5752 2.6343
3.1662 4.7961 -2.3572
2.6039 3.9443 0.7135
1.0293 1.5592 4.5550
3.0098 0.8014 5.6735
-0.4456 3.0826 5.6735
3.1097 4.7104 2.9516
0.5236 0.7931 2.3169
4.0789 2.4209 -0.4049
0.6235 4.7021 -0.4049
```

## Properties
As for the formation energy: -3.75 eV per formula unit. As for the space group: No. 69.

(15)
VASP calculation (PBE-GGA) on a geometry-optimized CaCdOs2 structure.

POSCAR file:
```
CaCdOs2
1.0
3.0396 0.0000 0.0000
0.0000 4.8233 0.0000
0.0000 0.0000 4.8216
Ca Os Cd
1 2 1
Cartesian
1.5198 0.0000 2.4108
1.5198 2.4116 0.0000
0.0000 0.0000 0.0000
0.0000 2.4116 2.4108
```

## Properties
As for the formation energy: 2.68 eV per formula unit. As for the space group: No. 47.

(16)
VASP calculation (PBE-GGA) on a geometry-optimized KP2IO structure.

POSCAR file:
```
KP2IO
1.0
6.2469 0.0000 0.0000
0.0000 6.2469 0.0000
0.0000 0.0000 4.5971
O P I K
1 2 1 1
Cartesian
0.0000 0.0000 2.2986
3.1234 0.0000 0.0000
0.0000 3.1234 0.0000
3.1234 3.1234 2.2986
0.0000 0.0000 0.0000
```

## Properties
Its uncorrected formation energy is 1.395 eV per atom. As for the space group: No. 123.

(17)
VASP calculation (PBE-GGA) on a geometry-optimized NdHo5TlIn2 structure.

POSCAR file:
```
NdHo5TlIn2
1.0
8.5554 0.0000 0.0000
0.0000 8.5554 0.0000
-4.2777 -4.2777 7.0894
Ho In Nd Tl
10 4 2 2
Cartesian
-1.7751 -2.5026 5.1996
1.7751 6.0528 1.8898
6.7803 2.5026 1.8898
0.0000 0.0000 0.0000
-2.5026 1.7751 5.1996
4.2777 4.2777 0.0000
2.5026 1.7751 1.8898
2.5026 -1.7751 5.1996
6.0528 6.7803 1.8898
1.7751 2.5026 5.1996
0.9484 3.3293 0.0000
7.6070 5.2261 0.0000
3.3293 7.6070 0.0000
5.2261 0.9484 0.0000
0.0000 4.2777 3.5447
4.2777 0.0000 3.5447
0.0000 0.0000 3.5447
4.2777 4.2777 3.5447
```

## Properties
As for the formation energy: -0.45 eV per formula unit. As for the space group: No. 140.

(18)
VASP calculation (PBE-GGA) on a geometry-optimized LaInCuIr structure.

POSCAR file:
```
LaInCuIr
1.0
-2.2174 -4.1108 -1.4389
-1.9312 -3.0248 3.3177
-4.8534 -0.4233 0.3887
La Cu In Ir
1 1 1 1
Cartesian
0.0000 0.0000 0.0000
-2.2505 -1.8897 0.5669
-4.5010 -3.7795 1.1337
-6.7515 -5.6692 1.7006
```

## Properties
As for the formation energy: -1.06 eV per formula unit. As for the space group: No. 216.

(19)
VASP calculation (PBE-GGA) on a geometry-optimized ZrNpSn structure.

POSCAR file:
```
ZrNpSn
1.0
-2.2452 -2.6094 -3.8279
3.3250 -0.9593 -4.7581
-0.8082 -5.7524 0.9336
Zr Sn Np
2 2 2
Cartesian
-0.0758 -4.9031 -0.0750
2.5925 -1.8086 -3.7495
0.0152 -2.2849 -1.9131
0.2563 -7.0362 -5.7393
-0.4600 -5.3514 -3.0058
0.7315 -3.9697 -4.6466
```

## Properties
As for the formation energy: 0.33 eV per formula unit. As for the space group: No. 71.